# 1
The following is a DFT calculation (PBE) of an optimized crystal structure of PAu.

abc: 3.951 3.951 5.482
angles: 90.00 90.00 120.00
Fractional positions:
Au1 0.667 0.333 0.750
Au2 0.333 0.667 0.250
P1 0.000 0.000 0.500
P2 0.000 0.000 0.000

Results
For the energy relative to the lowest polymorph listed for this composition, the calculation gives 498.0 meV per atom.

# 2
The following is a DFT calculation (PBE) of an optimized crystal structure of PAu.

abc: 5.750 5.750 5.750
angles: 146.78 85.92 103.56
Fractional positions:
Au1 0.500 0.000 0.500
Au2 0.000 0.000 0.000
P1 0.396 0.146 0.250
P2 0.604 0.854 0.750

Results
For the energy relative to the lowest polymorph listed for this composition, the calculation gives 0.0 meV per atom.

# 3
The following is a DFT calculation (PBE) of an optimized crystal structure of PAu.

abc: 3.712 3.712 3.712
angles: 59.18 59.18 59.18
Fractional positions:
P1 0.500 0.500 0.500
Au1 0.000 0.000 0.000

Results
For the energy relative to the lowest polymorph listed for this composition, the calculation gives 384.4 meV per atom.

# 4
The following is a DFT calculation (PBE) of an optimized crystal structure of PAu.

abc: 2.869 2.869 4.815
angles: 90.00 90.00 120.00
Fractional positions:
P1 0.333 0.667 0.250
Au1 0.667 0.333 0.750

Results
For the energy relative to the lowest polymorph listed for this composition, the calculation gives 681.1 meV per atom.

# 5
The following is a DFT calculation (PBE) of an optimized crystal structure of P5Au.

abc: 5.229 9.603 5.427
angles: 90.00 110.66 90.00
Fractional positions:
P1 0.502 0.422 0.849
P2 0.502 0.078 0.849
P3 0.873 0.002 0.790
P4 0.873 0.498 0.790
P5 0.498 0.578 0.151
P6 0.649 0.250 0.144
P7 0.127 0.998 0.210
P8 0.351 0.750 0.856
P9 0.127 0.502 0.210
P10 0.498 0.922 0.151
Au1 0.810 0.750 0.758
Au2 0.190 0.250 0.242

Results
For the energy relative to the lowest polymorph listed for this composition, the calculation gives 3.8 meV per atom.

# 6
The following is a DFT calculation (PBE) of an optimized crystal structure of P5Au.

abc: 6.615 6.010 11.869
angles: 90.00 90.00 90.00
Fractional positions:
P1 0.248 0.509 0.763
P2 0.000 0.745 0.708
P3 0.752 0.509 0.763
P4 0.752 0.491 0.263
P5 0.500 0.252 0.222
P6 0.244 0.256 0.624
P7 0.500 0.641 0.014
P8 0.000 0.384 0.509
P9 0.756 0.256 0.624
P10 0.000 0.616 0.009
P11 0.500 0.099 0.388
P12 0.000 0.743 0.524
P13 0.500 0.901 0.888
P14 0.248 0.491 0.263
P15 0.756 0.744 0.124
P16 0.000 0.255 0.208
P17 0.000 0.257 0.024
P18 0.500 0.748 0.722
P19 0.244 0.744 0.124
P20 0.500 0.359 0.514
Au1 0.500 0.279 0.940
Au2 0.000 0.015 0.373
Au3 0.000 0.985 0.873
Au4 0.500 0.721 0.440

Results
For the energy relative to the lowest polymorph listed for this composition, the calculation gives 0.0 meV per atom.

# 7
The following is a DFT calculation (PBE) of an optimized crystal structure of PPbAu3.

abc: 4.867 4.867 4.867
angles: 90.00 90.00 90.00
Fractional positions:
P1 0.000 0.000 0.000
Au1 0.000 0.500 0.000
Au2 0.000 0.000 0.500
Au3 0.500 0.000 0.000
Pb1 0.500 0.500 0.500

Results
The value obtained for the total energy is -18.2 eV/cell.

# 8
The following is a DFT calculation (PBE) of an optimized crystal structure of Sr2P2PdAu.

abc: 4.248 4.248 8.813
angles: 90.00 90.00 120.00
Fractional positions:
Sr1 0.000 0.000 0.260
Sr2 0.000 0.000 0.740
P1 0.667 0.333 0.000
P2 0.333 0.667 0.500
Pd1 0.667 0.333 0.500
Au1 0.333 0.667 0.000

Results
The value obtained for the total energy is -28.4 eV/cell.

# 9
The following is a DFT calculation (PBE) of an optimized crystal structure of PrP2Au4.

abc: 4.507 4.507 8.240
angles: 105.89 105.89 59.93
Fractional positions:
Au1 0.418 0.418 0.255
Au2 0.851 0.851 0.552
Au3 0.149 0.149 0.448
Au4 0.582 0.582 0.745
P1 0.259 0.259 0.777
P2 0.741 0.741 0.223
Pr1 0.000 0.000 0.000

Results
The value obtained for the total magnetic moment is 0.000 μB per atom. The value obtained for the total energy is -30.9 eV/cell.

# 10
The following is a DFT calculation (PBE) of an optimized crystal structure of RbP5Au3.

abc: 6.115 6.115 7.209
angles: 90.00 90.00 120.00
Fractional positions:
Au1 0.500 0.000 0.500
Au2 0.000 0.500 0.500
Au3 0.500 0.500 0.500
P1 0.000 0.000 0.500
P2 0.333 0.667 0.739
P3 0.667 0.333 0.261
P4 0.333 0.667 0.261
P5 0.667 0.333 0.739
Rb1 0.000 0.000 0.000

Results
The value obtained for the total energy is -34.2 eV/cell.

# 11
The following is a DFT calculation (PBE) of an optimized crystal structure of Rb5P2Au.

abc: 5.963 5.963 19.387
angles: 90.00 90.00 120.00
Fractional positions:
Au1 0.333 0.667 0.250
Au2 0.667 0.333 0.750
P1 0.333 0.667 0.375
P2 0.333 0.667 0.125
P3 0.667 0.333 0.625
P4 0.667 0.333 0.875
Rb1 0.000 0.000 0.355
Rb2 0.333 0.667 0.548
Rb3 0.667 0.333 0.048
Rb4 0.667 0.333 0.452
Rb5 0.000 0.000 0.645
Rb6 0.333 0.667 0.952
Rb7 0.667 0.333 0.250
Rb8 0.000 0.000 0.145
Rb9 0.333 0.667 0.750
Rb10 0.000 0.000 0.855

Results
The value obtained for the total energy is -43.0 eV/cell.

# 12
The following is a DFT calculation (PBE) of an optimized crystal structure of RbPAuSeS2.

abc: 7.267 7.267 7.971
angles: 108.93 108.93 58.92
Fractional positions:
S1 0.703 0.187 0.688
S2 0.187 0.703 0.688
S3 0.813 0.297 0.312
S4 0.297 0.813 0.312
Au1 0.245 0.755 0.000
Au2 0.755 0.245 0.000
Se1 0.790 0.790 0.216
Se2 0.210 0.210 0.784
Rb1 0.296 0.296 0.277
Rb2 0.704 0.704 0.723
P1 0.973 0.973 0.347
P2 0.027 0.027 0.653

Results
The value obtained for the total energy is -49.4 eV/cell.

# 13
The following is a DFT calculation (PBE) of an optimized crystal structure of Rb3TlP2Au2.

abc: 6.214 6.618 6.432
angles: 90.00 105.77 90.00
Fractional positions:
Rb1 0.320 0.000 0.977
Rb2 0.021 0.500 0.682
Rb3 0.695 0.500 0.046
P1 0.744 0.000 0.695
P2 0.256 0.500 0.268
Au1 0.488 0.250 0.491
Au2 0.488 0.750 0.491
Tl1 0.986 0.000 0.350

Results
The value obtained for the total energy is -25.4 eV/cell.

# 14
The following is a DFT calculation (PBE) of an optimized crystal structure of RbTlP2Au4.

abc: 8.432 8.432 8.432
angles: 139.09 139.09 59.24
Fractional positions:
Au1 0.874 0.655 0.275
Au2 0.345 0.620 0.219
Au3 0.380 0.599 0.725
Au4 0.401 0.126 0.781
Tl1 0.750 0.250 0.500
Rb1 0.000 0.000 0.000
P1 0.250 0.750 0.500
P2 0.500 0.500 0.000

Results
The value obtained for the total energy is -29.0 eV/cell.

# 15
The following is a DFT calculation (PBE) of an optimized crystal structure of TlPAuSe2S.

abc: 7.194 7.194 8.434
angles: 116.21 116.21 61.02
Fractional positions:
Au1 0.236 0.764 0.000
Au2 0.764 0.236 0.000
P1 0.965 0.965 0.345
P2 0.035 0.035 0.655
S1 0.778 0.778 0.197
S2 0.222 0.222 0.803
Se1 0.805 0.315 0.325
Se2 0.685 0.195 0.675
Se3 0.315 0.805 0.325
Se4 0.195 0.685 0.675
Tl1 0.716 0.716 0.783
Tl2 0.284 0.284 0.217

Results
The value obtained for the total energy is -47.2 eV/cell.

# 16
The following is a DFT calculation (PBE) of an optimized crystal structure of Sr2SbPAu2.

abc: 4.594 4.594 8.667
angles: 90.00 90.00 120.00
Fractional positions:
Sr1 0.667 0.333 0.265
Sr2 0.667 0.333 0.735
Sb1 0.333 0.667 0.999
Au1 0.000 0.000 0.002
Au2 0.333 0.667 0.500
P1 0.000 0.000 0.499

Results
The value obtained for the total energy is -24.6 eV/cell.

# 17
The following is a DFT calculation (PBE) of an optimized crystal structure of SnP7Au3.

abc: 6.385 11.123 6.517
angles: 90.00 108.80 90.00
Fractional positions:
P1 0.738 0.250 0.284
P2 0.800 0.911 0.710
P3 0.165 0.922 0.835
P4 0.200 0.411 0.290
P5 0.720 0.408 0.805
P6 0.835 0.422 0.165
P7 0.262 0.750 0.716
P8 0.165 0.578 0.835
P9 0.835 0.078 0.165
P10 0.720 0.092 0.805
P11 0.280 0.592 0.195
P12 0.800 0.589 0.710
P13 0.200 0.089 0.290
P14 0.280 0.908 0.195
Au1 0.927 0.250 0.681
Au2 0.684 0.901 0.313
Au3 0.073 0.750 0.319
Au4 0.684 0.599 0.313
Au5 0.316 0.401 0.687
Au6 0.316 0.099 0.687
Sn1 0.312 0.250 0.041
Sn2 0.688 0.750 0.959

Results
The value obtained for the total energy is -105.7 eV/cell.

# 18
The following is a DFT calculation (PBE) of an optimized crystal structure of TaPAu3.

abc: 6.392 6.392 5.325
angles: 90.00 90.00 120.00
Fractional positions:
Ta1 0.667 0.333 0.500
Ta2 0.667 0.333 0.000
Au1 0.077 0.404 0.750
Au2 0.596 0.923 0.250
Au3 0.327 0.404 0.250
Au4 0.596 0.673 0.750
Au5 0.327 0.923 0.750
Au6 0.077 0.673 0.250
P1 0.000 0.000 0.000
P2 0.000 0.000 0.500

Results
For the energy relative to the lowest polymorph listed for this composition, the calculation gives 0.0 meV per atom. The value obtained for the total magnetic moment is 0.000 μB per atom.

# 19
The following is a DFT calculation (PBE) of an optimized crystal structure of Ta3P5Au.

abc: 5.785 5.785 5.815
angles: 90.00 90.00 120.00
Fractional positions:
Ta1 0.000 0.500 0.500
Ta2 0.500 0.500 0.500
Ta3 0.500 0.000 0.500
P1 0.667 0.333 0.184
P2 0.000 0.000 0.500
P3 0.333 0.667 0.816
P4 0.333 0.667 0.184
P5 0.667 0.333 0.816
Au1 0.000 0.000 0.000

Results
The value obtained for the total magnetic moment is 0.001 μB per atom. The value obtained for the total energy is -66.2 eV/cell.

# 20
The following is a DFT calculation (PBE) of an optimized crystal structure of TaPAu3.

abc: 4.639 4.639 4.639
angles: 90.00 90.00 90.00
Fractional positions:
Au1 0.000 0.500 0.000
Au2 0.000 0.000 0.500
Au3 0.500 0.000 0.000
Ta1 0.500 0.500 0.500
P1 0.000 0.000 0.000

Results
For the energy relative to the lowest polymorph listed for this composition, the calculation gives 562.8 meV per atom. The value obtained for the total magnetic moment is 0.079 μB per atom.

# 21
The following is a DFT calculation (PBE) of an optimized crystal structure of Tl3P2Au3.

abc: 7.137 7.137 7.137
angles: 52.64 52.64 52.64
Fractional positions:
Tl1 0.500 0.500 0.500
Tl2 0.089 0.089 0.089
Tl3 0.911 0.911 0.911
P1 0.248 0.248 0.248
P2 0.752 0.752 0.752
Au1 0.500 0.000 0.500
Au2 0.500 0.500 0.000
Au3 0.000 0.500 0.500

Results
The value obtained for the total energy is -28.0 eV/cell.

# 22
The following is a DFT calculation (PBE) of an optimized crystal structure of TlP5Au3.

abc: 7.111 7.111 4.920
angles: 90.00 90.00 120.00
Fractional positions:
P1 0.667 0.333 0.775
P2 0.333 0.667 0.225
P3 0.667 0.333 0.225
P4 0.333 0.667 0.775
P5 0.000 0.000 0.500
Au1 0.500 0.000 0.500
Au2 0.000 0.500 0.500
Au3 0.500 0.500 0.500
Tl1 0.000 0.000 0.000

Results
The value obtained for the total energy is -36.3 eV/cell.

# 23
The following is a DFT calculation (PBE) of an optimized crystal structure of U2PAu6.

abc: 4.804 4.807 12.139
angles: 90.00 90.00 90.00
Fractional positions:
Au1 0.000 0.500 0.130
Au2 0.500 0.500 0.500
Au3 0.500 0.000 0.130
Au4 0.000 0.500 0.870
Au5 0.500 0.000 0.870
Au6 0.500 0.500 0.000
U1 0.500 0.500 0.738
U2 0.500 0.500 0.262
P1 0.000 0.000 0.000

Results
The value obtained for the total magnetic moment is 0.651 μB per atom. The value obtained for the total energy is -42.3 eV/cell.